The following is a PBE calculation of an optimized crystal structure of Y2SnAu4, from Alexandria via LeMat-Bulk.

Energy, eV/atom: -4.895
ΔE_f, eV per formula unit: -4.22

```
7
Lattice="-2.243 3.815 -1.223 -3.518 1.508 2.536 3.948 6.864 5.554" Properties=species:S:1:pos:R:3 pbc="T T T"
Y -1.433 9.077 5.086
Y -0.380 3.110 1.780
Sn 0.000 0.000 0.000
Au -3.313 7.446 3.447
Au 1.500 4.741 3.420
Au -3.160 4.139 1.469
Au 1.346 8.048 5.398
```